1.
Computed, not measured: Ba3Ir after structural relaxation at the GGA-PBEsol level of DFT.

a = 6.235 Å, b = 13.799 Å, c = 4.452 Å
α = 90.00°, β = 90.00°, γ = 90.00°
Space group Cmmm (No. 65)
Asymmetric unit:
1 Ba 0.000 0.000 0.000 x2
2 Ba 0.000 0.354 0.500 x4
3 Ir 0.000 0.500 0.000 x2

## Properties
E_form: -0.032 eV per atom
magnetic moment: 0.0 μB per cell
theoretical density: 5.239 g/cm3

2.
Computed, not measured: BaIr3 after structural relaxation at the GGA-PBEsol level of DFT.

a = 5.172 Å, b = 5.172 Å, c = 5.172 Å
α = 90.00°, β = 90.00°, γ = 90.00°
Space group Pm-3m (No. 221)
Asymmetric unit:
1 Ba 0.000 0.000 0.000 x1
2 Ir 0.000 0.000 0.500 x3

## Properties
E_form: 3.982 eV per atom
magnetic moment: 2.7 μB per cell
theoretical density: 8.571 g/cm3

3.
Computed, not measured: Ba2Ir after structural relaxation at the GGA-PBEsol level of DFT.

a = 4.4824 Å, b = 4.4824 Å, c = 7.1381 Å
α = 90.00°, β = 90.00°, γ = 120.00°
Space group P-3m1 (No. 164)
Asymmetric unit:
1 Ba 0.3333 0.6667 0.2776 x2
2 Ir 0.0000 0.0000 0.5000 x1

## Properties
E_form: 0.041 eV per atom
magnetic moment: 0.0 μB per cell
theoretical density: 6.242 g/cm3

4.
Computed, not measured: BaIr after structural relaxation at the GGA-PBEsol level of DFT.

a = 4.484 Å, b = 4.484 Å, c = 9.726 Å
α = 90.00°, β = 90.00°, γ = 90.00°
Space group I4_1/amd (No. 141, origin choice 2)
Asymmetric unit:
1 Ba 0.000 0.250 0.375 x4
2 Ir 0.000 0.250 0.875 x4

## Properties
E_form: 0.657 eV per atom
magnetic moment: 0.0 μB per cell
theoretical density: 11.192 g/cm3

5.
Computed, not measured: Ba2Ir after structural relaxation at the GGA-PBEsol level of DFT.

a = 9.014 Å, b = 9.014 Å, c = 9.014 Å
α = 90.00°, β = 90.00°, γ = 90.00°
Space group Fd-3m (No. 227, origin choice 2)
Asymmetric unit:
1 Ba 0.000 0.000 0.000 x16
2 Ir 0.125 0.125 0.625 x8

## Properties
E_form: 1.265 eV per atom
magnetic moment: 0.0 μB per cell
theoretical density: 8.468 g/cm3

6.
Computed, not measured: Ba3Ir after structural relaxation at the GGA-PBEsol level of DFT.

a = 4.180 Å, b = 7.634 Å, c = 10.694 Å
α = 90.00°, β = 90.00°, γ = 90.00°
Space group Pmmn (No. 59, origin choice 2)
Asymmetric unit:
1 Ba 0.250 0.015 0.180 x4
2 Ba 0.250 0.250 0.517 x2
3 Ir 0.250 0.750 0.689 x2

## Properties
E_form: 0.020 eV per atom
magnetic moment: 0.0 μB per cell
theoretical density: 5.880 g/cm3

7.
Computed, not measured: BaIr after structural relaxation at the GGA-PBEsol level of DFT.

a = 4.0918 Å, b = 4.0918 Å, c = 9.5893 Å
α = 90.00°, β = 90.00°, γ = 120.00°
Space group P-3m1 (No. 164)
Asymmetric unit:
1 Ba 0.3333 0.6667 0.2157 x2
2 Ir 0.3333 0.6667 0.5320 x2

## Properties
E_form: 0.238 eV per atom
magnetic moment: 0.0 μB per cell
theoretical density: 7.871 g/cm3

8.
Computed, not measured: KBaIr4 after structural relaxation at the GGA-PBEsol level of DFT.

a = 7.718 Å, b = 7.718 Å, c = 7.718 Å
α = 90.00°, β = 90.00°, γ = 90.00°
Space group F-43m (No. 216)
Asymmetric unit:
1 K 0.000 0.000 0.000 x4
2 Ba 0.250 0.250 0.250 x4
3 Ir 0.125 0.125 0.625 x16

## Properties
E_form: 0.343 eV per atom
magnetic moment: 0.0 μB per cell
theoretical density: 13.655 g/cm3